(1)
# Cs2IBr3

An optimized crystal structure of Cs2IBr3 (PBE, Alexandria via LeMat-Bulk).

Its spin magnetization is 0.00 μB per formula unit. For the total energy, the calculation gives -30.95 eV/cell. Its energy relative to the elements, uncorrected is -1200 meV per atom. The theoretical density is 3.455 g cm⁻³. For the distance to the lowest polymorph of the same formula, the calculation gives 0 meV per atom.

Lattice parameters (Å, degrees): 6.9380 6.9419 12.6219 90.16 90.42 90.01
With the nearest neighbours (Å) after each atom.
Space group P-1 (No. 2)
Inequivalent atoms, fractional coordinates:
1 Cs 0.2456 0.2508 0.3795 [2 per cell]  6 Br 3.66-3.95, 2 I 3.84
2 Cs 0.2529 0.2487 0.8799 [2 per cell]  6 Br 3.65-3.95, 2 I 3.83-3.84
3 I 0.2486 0.7502 0.2498 [2 per cell]  2 Br 2.79
4 Br 0.2468 0.7492 0.0290 [2 per cell]  1 I 2.79
5 Br 0.2513 0.7510 0.4711 [2 per cell]  1 I 2.79
6 Br 0.2545 0.7486 0.7516 [2 per cell]  2 Br 3.50-3.54, 4 Cs 3.83-3.85


(2)
# CsIBr

An optimized crystal structure of CsIBr (PBE, Alexandria via LeMat-Bulk).

Its spin magnetization is 1.01 μB per formula unit. For the total energy, the calculation gives -13.97 eV/cell. Its energy relative to the elements, uncorrected is -969 meV per atom. The theoretical density is 3.652 g cm⁻³. For the distance to the lowest polymorph of the same formula, the calculation gives 143 meV per atom.

Lattice parameters (Å, degrees): 5.0923 5.0923 11.9122 90.00 90.00 90.00
With the nearest neighbours (Å) after each atom.
Space group I4mm (No. 107)
Inequivalent atoms, fractional coordinates:
1 Cs 0.0000 0.0000 0.0000 [2 per cell]  4 Br 3.81, 5 I 4.03-4.15
2 I 0.0000 0.0000 0.3480 [2 per cell]  1 Br 3.05
3 Br 0.0000 0.0000 0.6041 [2 per cell]  1 I 3.05


(3)
# Cs2I2Br7

An optimized crystal structure of Cs2I2Br7 (PBE, Alexandria via LeMat-Bulk).

Its spin magnetization is 0.00 μB per formula unit. For the total energy, the calculation gives -44.75 eV/cell. Its energy relative to the elements, uncorrected is -533 meV per atom. The theoretical density is 3.510 g cm⁻³.

Lattice parameters (Å, degrees): 10.3510 12.3716 8.0630 90.00 98.60 90.00
With the nearest neighbours (Å) after each atom.
Space group C2/m (No. 12)
Inequivalent atoms, fractional coordinates:
1 Cs 0.0000 0.2356 0.0000 [4 per cell]  4 Br 3.57-3.59
2 I 0.2306 0.5000 0.4353 [4 per cell]  2 Br 2.65-2.76
3 Br 0.0000 0.0000 0.5000 [2 per cell]  2 I 2.76
4 Br 0.2092 0.3492 0.7314 [8 per cell]  1 I 3.06
5 Br 0.2282 0.5000 0.1062 [4 per cell]  1 I 2.65


(4)
# CsIBr3

An optimized crystal structure of CsIBr3 (PBE, Alexandria via LeMat-Bulk).

Its spin magnetization is 0.00 μB per formula unit. For the total energy, the calculation gives -44.84 eV/cell. Its energy relative to the elements, uncorrected is -758 meV per atom. The theoretical density is 3.741 g cm⁻³. For the distance to the lowest polymorph of the same formula, the calculation gives 6 meV per atom.

Lattice parameters (Å, degrees): 10.4333 8.4751 12.1819 90.00 124.58 90.00
With the nearest neighbours (Å) after each atom.
Space group P2_1/c (No. 14)
Inequivalent atoms, fractional coordinates:
1 Cs 0.1833 0.2464 0.1220 [4 per cell]  6 Br 3.61-4.00
2 I 0.2960 0.7070 0.3694 [4 per cell]  2 Br 2.68-2.75
3 Br 0.0033 0.5775 0.2181 [4 per cell]  1 I 2.75
4 Br 0.2820 0.7283 0.6145 [4 per cell]  2 I 3.07-3.08
5 Br 0.4061 0.1992 0.4820 [4 per cell]  1 I 2.68


(5)
# Cs3IBr4

An optimized crystal structure of Cs3IBr4 (PBE, Alexandria via LeMat-Bulk).

Its spin magnetization is 0.16 μB per formula unit. For the total energy, the calculation gives -42.81 eV/cell. Its energy relative to the elements, uncorrected is -1325 meV per atom. The theoretical density is 3.151 g cm⁻³.

Lattice parameters (Å, degrees): 15.4639 7.5994 7.5802 90.00 90.00 90.00
With the nearest neighbours (Å) after each atom.
Space group Pmn2_1 (No. 31)
Inequivalent atoms, fractional coordinates:
1 Cs 0.0000 0.2348 0.0000 [2 per cell]  4 Br 3.46-3.52, 1 I 3.58
2 Cs 0.2492 0.7467 0.0103 [4 per cell]  6 Br 3.81-3.89
3 I 0.0000 0.5621 0.3395 [2 per cell]  2 Br 2.73
4 Br 0.0000 0.2667 0.5436 [2 per cell]  1 I 2.73
5 Br 0.0000 0.7823 0.0557 [2 per cell]  1 I 2.73
6 Br 0.2278 0.2462 0.0101 [4 per cell]  5 Cs 3.52-3.82


(6)
# Cs2IBr8

An optimized crystal structure of Cs2IBr8 (PBE, Alexandria via LeMat-Bulk).

Its spin magnetization is 0.00 μB per formula unit. For the total energy, the calculation gives -24.00 eV/cell. Its energy relative to the elements, uncorrected is -669 meV per atom. The theoretical density is 3.312 g cm⁻³.

Lattice parameters (Å, degrees): 7.8183 8.2398 8.6915 94.63 111.12 94.28
With the nearest neighbours (Å) after each atom.
Space group P-1 (No. 2)
Inequivalent atoms, fractional coordinates:
1 Cs 0.1801 0.2725 0.3920 [2 per cell]  5 Br 3.60-3.99
2 I 0.5000 0.5000 0.0000 [1 per cell]  4 Br 2.69-2.92
3 Br 0.0822 0.9021 0.1119 [2 per cell]  2 Br 2.65-2.66
4 Br 0.1884 0.7742 0.3979 [2 per cell]  2 Br 2.65-2.74
5 Br 0.3532 0.6475 0.6914 [2 per cell]  1 Br 2.74, 1 I 2.92
6 Br 0.4056 0.2001 0.8262 [2 per cell]  1 I 2.69


(7)
# Cs2IBr6

An optimized crystal structure of Cs2IBr6 (PBE, Alexandria via LeMat-Bulk).

Its spin magnetization is 0.96 μB per formula unit. For the total energy, the calculation gives -40.70 eV/cell. Its energy relative to the elements, uncorrected is -784 meV per atom. The theoretical density is 3.995 g cm⁻³. For the distance to the lowest polymorph of the same formula, the calculation gives 0 meV per atom.

Lattice parameters (Å, degrees): 8.1088 8.0901 13.7023 90.00 126.24 90.00
With the nearest neighbours (Å) after each atom.
Space group P2_1/c (No. 14)
Inequivalent atoms, fractional coordinates:
1 Cs 0.2495 0.0000 0.2493 [4 per cell]  12 Br 3.96-4.07
2 I 0.5000 0.0000 0.0000 [2 per cell]  4 Br 2.70-2.71
3 Br 0.2227 0.2257 0.4990 [4 per cell]  1 I 3.15
4 Br 0.2576 0.0005 0.7556 [4 per cell]  1 I 2.70
5 Br 0.2637 0.7382 0.4988 [4 per cell]  1 I 2.71


(8)
# CsIBr3

An optimized crystal structure of CsIBr3 (PBE, Alexandria via LeMat-Bulk).

Its spin magnetization is 0.00 μB per formula unit. For the total energy, the calculation gives -21.68 eV/cell. Its energy relative to the elements, uncorrected is -684 meV per atom. The theoretical density is 3.530 g cm⁻³. For the distance to the lowest polymorph of the same formula, the calculation gives 80 meV per atom.

Lattice parameters (Å, degrees): 5.6101 8.5360 10.5303 108.98 98.28 92.09
With the nearest neighbours (Å) after each atom.
Space group P-1 (No. 2)
Inequivalent atoms, fractional coordinates:
1 Cs 0.2096 0.2490 0.2584 [2 per cell]  6 Br 3.61-3.91
2 I 0.0865 0.2329 0.7163 [2 per cell]  2 Br 2.67-2.72
3 Br 0.2134 0.6946 0.4808 [2 per cell]  1 I 2.72
4 Br 0.3174 0.5985 0.8852 [2 per cell]  1 Br 3.15, 1 I 3.16
5 Br 0.3510 0.1086 0.8865 [2 per cell]  1 I 2.67


Number 6 is which compound?
Cs2IBr8


What is the spin magnetization in the eighth record?
0.00 μB per formula unit